## one
{"formula": "LaY2MgRu", "functional": "PBE", "state": "relaxed", "magnetic_moment_mub_per_atom": 0.000, "rho_g_cm3": 4.925, "space_group": "No. 123", "lattice": [[5.2784, 0.0000, 0.0000], [0.0000, 5.2784, 0.0000], [0.0000, 0.0000, 5.3501]], "species": ["Y", "Y", "Ru", "Mg", "La"], "frac_coords": [[0.0000, 0.5000, 0.0000], [0.5000, 0.0000, 0.0000], [0.0000, 0.0000, 0.0000], [0.0000, 0.0000, 0.5000], [0.5000, 0.5000, 0.5000]]}

***

## two
{"formula": "LaY2MgRu", "functional": "PBE", "state": "relaxed", "magnetic_moment_mub_per_atom": 0.000, "rho_g_cm3": 4.616, "space_group": "No. 123", "lattice": [[5.4336, 0.0000, 0.0000], [0.0000, 5.4336, 0.0000], [0.0000, 0.0000, 5.3873]], "species": ["Y", "Y", "Ru", "Mg", "La"], "frac_coords": [[0.0000, 0.5000, 0.0000], [0.5000, 0.0000, 0.0000], [0.0000, 0.0000, 0.0000], [0.5000, 0.5000, 0.5000], [0.0000, 0.0000, 0.5000]]}

***

Which of them is most stable? Easy: two.

***

## one
{"formula": "La2YMgRu", "functional": "PBE", "state": "relaxed", "magnetic_moment_mub_per_atom": 0.001, "rho_g_cm3": 5.219, "space_group": "No. 123", "lattice": [[-1.6490, 4.7119, -2.0157], [-5.0870, -1.7621, 0.0424], [-0.6248, 1.9242, 5.0090]], "species": ["Y", "Ru", "Mg", "La", "La"], "frac_coords": [[0.5000, 0.5000, 0.5000], [0.0000, 0.0000, 0.0000], [0.0000, 0.0000, 0.5000], [0.0000, 0.5000, 0.0000], [0.5000, 0.0000, 0.0000]]}

***

## two
{"formula": "La2YMgRu", "functional": "PBE", "state": "relaxed", "magnetic_moment_mub_per_atom": 0.000, "rho_g_cm3": 4.946, "space_group": "No. 123", "lattice": [[-4.3022, -3.3843, -0.2888], [3.1042, -4.1068, 1.8826], [-1.3829, 1.3181, 5.1557]], "species": ["Y", "Ru", "Mg", "La", "La"], "frac_coords": [[0.0000, 0.0000, 0.5000], [0.0000, 0.0000, 0.0000], [0.5000, 0.5000, 0.5000], [0.0000, 0.5000, 0.0000], [0.5000, 0.0000, 0.0000]]}

***

Which of them is most stable? Easy: two.

***

## one
{"formula": "LaMg3S", "functional": "PBE", "state": "relaxed", "magnetic_moment_mub_per_atom": 0.000, "rho_g_cm3": 3.039, "space_group": "No. 221", "lattice": [[-0.4454, -3.8138, 3.3688], [-0.9630, -3.2574, -3.8150], [4.9966, -0.9678, -0.4350]], "species": ["S", "Mg", "Mg", "Mg", "La"], "frac_coords": [[0.0000, 0.0000, 0.0000], [0.0000, 0.5000, 0.0000], [0.0000, 0.0000, 0.5000], [0.5000, 0.0000, 0.0000], [0.5000, 0.5000, 0.5000]]}

***

## two
{"formula": "LaMg3S", "functional": "PBE", "state": "relaxed", "magnetic_moment_mub_per_atom": 0.002, "rho_g_cm3": 1.691, "space_group": "No. 221", "lattice": [[6.2106, 0.0000, 0.0000], [0.0000, 6.2106, 0.0000], [0.0000, 0.0000, 6.2106]], "species": ["S", "Mg", "Mg", "Mg", "La"], "frac_coords": [[0.5000, 0.5000, 0.5000], [0.0000, 0.5000, 0.0000], [0.0000, 0.0000, 0.5000], [0.5000, 0.0000, 0.0000], [0.0000, 0.0000, 0.0000]]}

***

Which of them is most stable? Easy: one.

***

## one
{"formula": "La2MgS2", "functional": "PBE", "state": "relaxed", "magnetic_moment_mub_per_atom": 0.000, "rho_g_cm3": 3.739, "space_group": "No. 139", "lattice": [[4.9034, 0.0000, 0.0000], [0.0000, 4.9034, 0.0000], [2.4517, 2.4517, 6.7649]], "species": ["S", "S", "Mg", "La", "La"], "frac_coords": [[0.7500, 0.2500, 0.5000], [0.2500, 0.7500, 0.5000], [0.0000, 0.0000, 0.0000], [0.3518, 0.3518, 0.2963], [0.6482, 0.6482, 0.7037]]}

***

## two
{"formula": "La2MgS2", "functional": "PBE", "state": "relaxed", "magnetic_moment_mub_per_atom": 0.000, "rho_g_cm3": 4.751, "space_group": "No. 127", "lattice": [[8.3862, 0.0000, 0.0000], [0.0000, 8.3862, 0.0000], [0.0000, 0.0000, 3.6399]], "species": ["S", "S", "S", "S", "Mg", "Mg", "La", "La", "La", "La"], "frac_coords": [[0.1435, 0.6435, 0.5000], [0.6435, 0.8565, 0.5000], [0.8565, 0.3565, 0.5000], [0.3565, 0.1435, 0.5000], [0.0000, 0.0000, 0.0000], [0.5000, 0.5000, 0.0000], [0.3465, 0.8465, 0.0000], [0.8465, 0.6535, 0.0000], [0.6535, 0.1535, 0.0000], [0.1535, 0.3465, 0.0000]]}

***

Which of them is most stable? Easy: one.

***

## one
{"formula": "La2MgS", "functional": "PBE", "state": "relaxed", "magnetic_moment_mub_per_atom": 0.000, "rho_g_cm3": 4.531, "space_group": "No. 122", "lattice": [[-2.0798, -5.9164, -5.7243], [4.0371, -5.8785, 4.6089], [-1.8921, -6.5347, 1.1440]], "species": ["S", "S", "Mg", "Mg", "La", "La", "La", "La"], "frac_coords": [[0.0000, 0.0000, 0.0000], [0.7500, 0.2500, 0.5000], [0.5000, 0.5000, 0.0000], [0.2500, 0.7500, 0.5000], [0.6814, 0.1250, 0.2500], [0.0686, 0.6250, 0.2500], [0.3750, 0.3186, 0.7500], [0.8750, 0.9314, 0.7500]]}

***

## two
{"formula": "La2MgS", "functional": "PBE", "state": "relaxed", "magnetic_moment_mub_per_atom": 0.000, "rho_g_cm3": 5.190, "space_group": "No. 225", "lattice": [[0.0000, 3.7672, 3.7672], [3.7672, 0.0000, 3.7672], [3.7672, 3.7672, 0.0000]], "species": ["S", "Mg", "La", "La"], "frac_coords": [[0.5000, 0.5000, 0.5000], [0.0000, 0.0000, 0.0000], [0.2500, 0.2500, 0.2500], [0.7500, 0.7500, 0.7500]]}

***

Which of them is most stable? Easy: one.

***

## one
{"formula": "La2MgSb", "functional": "PBE", "state": "relaxed", "magnetic_moment_mub_per_atom": 0.000, "rho_g_cm3": 5.875, "space_group": "No. 139", "lattice": [[-1.5038, -4.9334, 2.8973], [4.9495, -1.9348, 2.5986], [-2.4871, 5.3654, 0.1447]], "species": ["La", "La", "Mg", "Sb"], "frac_coords": [[0.0001, 0.0001, 0.0000], [0.4999, 0.4999, 0.0000], [0.7500, 0.2500, 0.5000], [0.2500, 0.7500, 0.5000]]}

***

## two
{"formula": "La2MgSb", "functional": "PBE", "state": "relaxed", "magnetic_moment_mub_per_atom": 0.000, "rho_g_cm3": 4.861, "space_group": "No. 166", "lattice": [[-4.5415, -3.5217, -6.5536], [-6.0596, -5.5708, -2.8679], [-7.6083, -1.5132, -3.9751]], "species": ["La", "La", "Mg", "Sb"], "frac_coords": [[0.0095, 0.0095, 0.0095], [0.4905, 0.4905, 0.4905], [0.2500, 0.2500, 0.2500], [0.7500, 0.7500, 0.7500]]}

***

Which of them is most stable? Easy: one.

***

## one
{"formula": "La2MgSb", "functional": "PBE", "state": "relaxed", "magnetic_moment_mub_per_atom": 0.000, "rho_g_cm3": 5.842, "space_group": "No. 123", "lattice": [[5.2370, 0.5235, 0.0000], [-0.5237, 5.2370, 0.0000], [0.0000, 0.0000, 4.3493]], "species": ["La", "La", "Mg", "Sb"], "frac_coords": [[0.0000, 0.0000, 0.0000], [0.5000, 0.5000, 0.0000], [0.5000, 0.0000, 0.5000], [0.0000, 0.5000, 0.5000]]}

***

## two
{"formula": "La2MgSb", "functional": "PBE", "state": "relaxed", "magnetic_moment_mub_per_atom": 0.000, "rho_g_cm3": 5.965, "space_group": "No. 216", "lattice": [[-0.9993, -5.1752, 1.5907], [4.1814, -3.4939, 0.7878], [1.3143, -1.6158, 5.0964]], "species": ["La", "La", "Mg", "Sb"], "frac_coords": [[0.0000, 0.0000, 0.0000], [0.2500, 0.2500, 0.2500], [0.5000, 0.5000, 0.5000], [0.7500, 0.7500, 0.7500]]}

***

Which of them is most stable? Easy: one.

***

## one
{"formula": "La2MgSb", "functional": "PBE", "state": "relaxed", "magnetic_moment_mub_per_atom": 0.000, "rho_g_cm3": 5.803, "space_group": "No. 225", "lattice": [[0.0000, 3.9289, 3.9289], [3.9289, 0.0000, 3.9289], [3.9289, 3.9289, 0.0000]], "species": ["Sb", "Mg", "La", "La"], "frac_coords": [[0.5000, 0.5000, 0.5000], [0.0000, 0.0000, 0.0000], [0.2500, 0.2500, 0.2500], [0.7500, 0.7500, 0.7500]]}

***

## two
{"formula": "La2MgSb", "functional": "PBE", "state": "relaxed", "magnetic_moment_mub_per_atom": 0.001, "rho_g_cm3": 5.453, "space_group": "No. 99", "lattice": [[-0.9366, -2.1324, -3.7345], [-0.0725, -3.8137, 2.1958], [-6.5095, 0.8005, 1.1755]], "species": ["La", "La", "Mg", "Sb"], "frac_coords": [[0.0000, 0.0000, 0.9662], [0.5000, 0.5000, 0.2779], [0.0000, 0.0000, 0.4831], [0.5000, 0.5000, 0.7729]]}

***

Which of them is most stable? Easy: one.

***

## one
{"formula": "La2MgSb", "functional": "PBE", "state": "relaxed", "magnetic_moment_mub_per_atom": 0.000, "rho_g_cm3": 5.873, "space_group": "No. 119", "lattice": [[6.3456, 0.0137, 0.0000], [2.8363, 5.6764, 0.0000], [-4.5909, -2.8451, 3.3309]], "species": ["La", "La", "Mg", "Sb"], "frac_coords": [[0.0000, 0.0000, 0.0000], [0.2500, 0.7500, 0.5000], [0.5000, 0.5000, 0.0000], [0.7500, 0.2500, 0.5000]]}

***

## two
{"formula": "La2MgSb", "functional": "PBE", "state": "relaxed", "magnetic_moment_mub_per_atom": 0.140, "rho_g_cm3": 5.262, "space_group": "No. 122", "lattice": [[8.8215, 0.0000, 0.0000], [0.0000, 8.8215, 0.0000], [4.4108, 4.4108, 3.4375]], "species": ["Sb", "Sb", "Mg", "Mg", "La", "La", "La", "La"], "frac_coords": [[0.0000, 0.0000, 0.0000], [0.7500, 0.2500, 0.5000], [0.5000, 0.5000, 0.0000], [0.2500, 0.7500, 0.5000], [0.6393, 0.1250, 0.2500], [0.1107, 0.6250, 0.2500], [0.3750, 0.3607, 0.7500], [0.8750, 0.8893, 0.7500]]}

***

Which of them is most stable? Easy: one.

***

## one
{"formula": "La2MgSb2", "functional": "PBE", "state": "relaxed", "magnetic_moment_mub_per_atom": 0.000, "rho_g_cm3": 5.931, "space_group": "No. 127", "lattice": [[8.3443, 0.0000, 0.0000], [0.0000, 8.3443, 0.0000], [0.0000, 0.0000, 4.3883]], "species": ["Sb", "Sb", "Sb", "Sb", "Mg", "Mg", "La", "La", "La", "La"], "frac_coords": [[0.3457, 0.8457, 0.0000], [0.8457, 0.6543, 0.0000], [0.6543, 0.1543, 0.0000], [0.1543, 0.3457, 0.0000], [0.0000, 0.0000, 0.0000], [0.5000, 0.5000, 0.0000], [0.1535, 0.6535, 0.5000], [0.6535, 0.8465, 0.5000], [0.8465, 0.3465, 0.5000], [0.3465, 0.1535, 0.5000]]}

***

## two
{"formula": "La2MgSb2", "functional": "PBE", "state": "relaxed", "magnetic_moment_mub_per_atom": 0.000, "rho_g_cm3": 5.656, "space_group": "No. 127", "lattice": [[8.7730, 0.0000, 0.0000], [0.0000, 8.7730, 0.0000], [0.0000, 0.0000, 4.1627]], "species": ["Sb", "Sb", "Sb", "Sb", "Mg", "Mg", "La", "La", "La", "La"], "frac_coords": [[0.1622, 0.6622, 0.5000], [0.6622, 0.8378, 0.5000], [0.8378, 0.3378, 0.5000], [0.3378, 0.1622, 0.5000], [0.0000, 0.0000, 0.0000], [0.5000, 0.5000, 0.0000], [0.3585, 0.8585, 0.0000], [0.8585, 0.6415, 0.0000], [0.6415, 0.1415, 0.0000], [0.1415, 0.3585, 0.0000]]}

***

Which of them is most stable? Easy: one.

***

## one
{"formula": "La2MgSb4", "functional": "PBE", "state": "relaxed", "magnetic_moment_mub_per_atom": 0.000, "rho_g_cm3": 5.724, "space_group": "No. 139", "lattice": [[5.2953, 0.0000, 0.0000], [0.0000, 5.2953, 0.0000], [2.6477, 2.6477, 8.1643]], "species": ["Sb", "Sb", "Sb", "Sb", "Mg", "La", "La"], "frac_coords": [[0.8223, 0.8223, 0.3553], [0.1777, 0.1777, 0.6447], [0.0000, 0.5000, 0.0000], [0.5000, 0.0000, 0.0000], [0.0000, 0.0000, 0.0000], [0.6282, 0.6282, 0.7436], [0.3718, 0.3718, 0.2564]]}

***

## two
{"formula": "La2MgSb4", "functional": "PBE", "state": "relaxed", "magnetic_moment_mub_per_atom": 0.000, "rho_g_cm3": 6.032, "space_group": "No. 115", "lattice": [[-0.0305, 0.1221, 4.3625], [4.1048, -1.4808, 0.0702], [3.8736, 10.7246, -0.2732]], "species": ["La", "La", "Mg", "Sb", "Sb", "Sb", "Sb"], "frac_coords": [[0.5000, 0.0000, 0.7322], [0.0000, 0.5000, 0.2678], [0.5000, 0.5000, 0.0000], [0.5000, 0.0000, 0.1654], [0.0000, 0.5000, 0.8346], [0.5000, 0.5000, 0.5000], [0.0000, 0.0000, 0.5000]]}

***

Which of them is most stable? Easy: two.

***

## one
{"formula": "LaMg14Sb", "functional": "PBE", "state": "relaxed", "magnetic_moment_mub_per_atom": 0.000, "rho_g_cm3": 2.558, "space_group": "No. 187", "lattice": [[3.2885, -5.6958, 0.0000], [3.2885, 5.6958, 0.0000], [0.0000, 0.0000, 10.4137]], "species": ["La", "Mg", "Mg", "Mg", "Mg", "Mg", "Mg", "Mg", "Mg", "Mg", "Mg", "Mg", "Mg", "Mg", "Mg", "Sb"], "frac_coords": [[0.0000, 0.0000, 0.0000], [0.0153, 0.5077, 0.0000], [0.9906, 0.4953, 0.5000], [0.4923, 0.9847, 0.0000], [0.5047, 0.0094, 0.5000], [0.4923, 0.5077, 0.0000], [0.5047, 0.4953, 0.5000], [0.1685, 0.8315, 0.2580], [0.1685, 0.8315, 0.7420], [0.1685, 0.3369, 0.2580], [0.1685, 0.3369, 0.7420], [0.6631, 0.8315, 0.2580], [0.6631, 0.8315, 0.7420], [0.6667, 0.3333, 0.2381], [0.6667, 0.3333, 0.7619], [0.0000, 0.0000, 0.5000]]}

***

## two
{"formula": "LaMg14Sb", "functional": "PBE", "state": "relaxed", "magnetic_moment_mub_per_atom": 0.000, "rho_g_cm3": 2.562, "space_group": "No. 38", "lattice": [[3.2045, -5.7237, 0.0000], [3.2045, 5.7237, 0.0000], [0.0000, 0.0000, 10.6169]], "species": ["La", "Mg", "Mg", "Mg", "Mg", "Mg", "Mg", "Mg", "Mg", "Mg", "Mg", "Mg", "Mg", "Mg", "Mg", "Sb"], "frac_coords": [[0.8332, 0.1668, 0.5000], [0.8311, 0.1689, 0.0000], [0.3288, 0.6712, 0.0000], [0.3387, 0.1769, 0.5000], [0.3303, 0.1636, 0.0000], [0.8231, 0.6613, 0.5000], [0.8364, 0.6697, 0.0000], [0.1697, 0.3306, 0.2386], [0.1697, 0.3306, 0.7614], [0.6694, 0.8303, 0.2386], [0.6694, 0.8303, 0.7614], [0.6657, 0.3343, 0.2421], [0.6657, 0.3343, 0.7579], [0.1657, 0.8343, 0.2589], [0.1657, 0.8343, 0.7411], [0.3374, 0.6626, 0.5000]]}

***

Which of them is most stable? Easy: two.

***

## one
{"formula": "LaMg3Sb", "functional": "PBE", "state": "relaxed", "magnetic_moment_mub_per_atom": 0.000, "rho_g_cm3": 3.433, "space_group": "No. 221", "lattice": [[5.4440, 0.0000, 0.0000], [0.0000, 5.4440, 0.0000], [0.0000, 0.0000, 5.4440]], "species": ["Sb", "Mg", "Mg", "Mg", "La"], "frac_coords": [[0.0000, 0.0000, 0.0000], [0.0000, 0.5000, 0.0000], [0.0000, 0.0000, 0.5000], [0.5000, 0.0000, 0.0000], [0.5000, 0.5000, 0.5000]]}

***

## two
{"formula": "LaMg3Sb", "functional": "PBE", "state": "relaxed", "magnetic_moment_mub_per_atom": 0.000, "rho_g_cm3": 2.686, "space_group": "No. 221", "lattice": [[5.9080, 0.0000, 0.0000], [0.0000, 5.9080, 0.0000], [0.0000, 0.0000, 5.9080]], "species": ["Sb", "Mg", "Mg", "Mg", "La"], "frac_coords": [[0.5000, 0.5000, 0.5000], [0.0000, 0.5000, 0.0000], [0.0000, 0.0000, 0.5000], [0.5000, 0.0000, 0.0000], [0.0000, 0.0000, 0.0000]]}

***

Which of them is most stable? Easy: one.